[1]
Material: Pa8NiIr5
Method: DFT, PBE
State: relaxed

Values from the calculation:
ΔH_f (0 K): -0.5720 eV/atom
Crystal system: tetragonal

```
Pa8NiIr5
1.0
-4.291 4.291 4.233
4.291 -4.291 4.233
4.291 4.291 -4.233
Pa Ni Ir
8 1 5
Cartesian
3.772 2.666 -1.611
5.965 0.538 0.526
0.538 2.616 -0.526
0.518 1.625 2.622
1.625 -0.518 5.845
3.752 1.675 3.708
2.666 4.809 1.611
-1.675 3.752 4.759
0.000 0.000 0.000
2.155 -1.043 3.184
3.247 2.135 1.050
2.135 5.334 -1.050
0.000 4.291 2.117
1.043 2.155 5.283
```


[2]
Material: LiLuS2O8
Method: DFT, PBE
State: relaxed

Values from the calculation:
ΔE_f (raw): -1924 meV/atom
Crystal system: tetragonal

```
LiLuS2O8
1.0
7.459 0.000 0.000
0.000 7.459 0.000
0.000 0.000 5.861
Li Lu S O
2 2 4 16
Cartesian
0.000 3.730 1.465
3.730 0.000 4.396
0.000 3.730 4.396
3.730 0.000 1.465
1.681 2.049 1.465
2.049 5.778 4.396
5.410 1.681 4.396
5.778 5.410 1.465
0.664 5.895 4.907
0.688 2.369 2.560
1.361 3.042 0.371
1.564 0.664 0.955
2.165 4.394 3.885
2.369 6.771 3.302
3.042 6.098 5.490
3.066 2.165 1.976
4.394 5.294 1.976
4.417 1.361 5.490
5.090 0.688 3.302
5.294 3.066 3.885
5.895 6.795 0.955
6.098 4.417 0.371
6.771 5.090 2.560
6.795 1.564 4.907
```


[3]
Material: Li2TeMo
Method: DFT, PBE
State: relaxed

Values from the calculation:
ΔE_f (raw): -27 meV/atom
Crystal system: tetragonal

```
Li2TeMo
1.0
-1.937 1.937 4.157
1.937 -1.937 4.157
1.937 1.937 -4.157
Li Te Mo
2 1 1
Cartesian
0.000 0.000 0.000
0.000 1.937 2.078
1.937 0.000 2.078
0.000 0.000 4.157
```


[4]
Material: HgHI3
Method: DFT, PBE
State: relaxed

Values from the calculation:
Excess energy over the best structure of this formula in the dataset: 0.0 meV/atom
Crystal system: triclinic

```
HgHI3
1.0
4.510 0.000 0.000
2.114 8.606 0.000
1.087 3.079 10.644
Hg H I
2 2 6
Cartesian
0.000 0.000 0.000
2.917 6.613 6.386
2.520 9.644 4.036
2.523 5.578 2.351
1.709 5.627 0.850
3.334 9.593 5.537
3.172 2.863 8.841
3.688 5.051 4.300
3.753 1.570 2.086
5.347 6.833 8.190
```


[5]
Material: Ti2TlAu
Method: DFT, PBE
State: relaxed

Values from the calculation:
ΔH_f (0 K): -0.1100 eV/atom
Crystal system: tetragonal

```
Ti2TlAu
1.0
4.260 0.000 0.000
0.000 4.260 0.000
0.000 0.000 4.088
Ti Tl Au
2 1 1
Cartesian
0.000 2.130 0.000
2.130 0.000 0.000
0.000 0.000 2.044
2.130 2.130 2.044
```


[6]
Material: GeAs2PdSe
Method: DFT, PBE
State: relaxed

Values from the calculation:
ΔE_f (raw): 836 meV/atom
Excess energy over the best structure of this formula in the dataset: 281.6 meV/atom
Crystal system: tetragonal

```
GeAs2PdSe
1.0
4.894 0.000 0.000
0.000 4.894 0.000
0.000 0.000 4.898
Ge As Pd Se
1 2 1 1
Cartesian
0.000 0.000 0.000
0.000 2.447 0.000
2.447 0.000 0.000
2.447 2.447 2.449
0.000 0.000 2.449
```


[7]
Material: Al3PdCl
Method: DFT, PBE
State: relaxed

Values from the calculation:
ΔE_f (raw): -374 meV/atom
Excess energy over the best structure of this formula in the dataset: 0.0 meV/atom
Crystal system: cubic

```
Al3PdCl
1.0
4.800 0.000 0.000
0.000 4.800 0.000
0.000 0.000 4.800
Al Pd Cl
3 1 1
Cartesian
0.000 0.000 2.400
0.000 2.400 0.000
2.400 0.000 0.000
0.000 0.000 0.000
2.400 2.400 2.400
```


[8]
Material: LuTiZn2
Method: DFT, PBE
State: relaxed

Values from the calculation:
Excess energy over the best structure of this formula in the dataset: 39.0 meV/atom
ΔH_f (0 K): -0.1816 eV/atom
Crystal system: cubic

```
LuTiZn2
1.0
0.000 3.327 3.327
3.327 0.000 3.327
3.327 3.327 0.000
Lu Ti Zn
1 1 2
Cartesian
0.000 0.000 0.000
3.327 3.327 3.327
1.663 1.663 1.663
4.990 4.990 4.990
```


[9]
Material: LiBP2S
Method: DFT, PBE
State: relaxed

Values from the calculation:
ΔE_f (raw): 1527 meV/atom
Excess energy over the best structure of this formula in the dataset: 1005.5 meV/atom
Crystal system: tetragonal

```
LiBP2S
1.0
4.353 0.000 0.000
0.000 4.353 0.000
0.000 0.000 4.251
Li B P S
1 1 2 1
Cartesian
0.000 0.000 0.000
2.177 2.177 2.125
0.000 2.177 0.000
2.177 0.000 0.000
0.000 0.000 2.125
```


[10]
Material: Pm6NdEr2Tm
Method: DFT, PBE
State: relaxed

Values from the calculation:
ΔH_f (0 K): 0.1157 eV/atom
Crystal system: monoclinic

```
Pm6NdEr2Tm
1.0
4.642 -7.603 0.000
4.642 7.603 0.000
-1.096 0.000 9.520
Pm Nd Er Tm
12 2 4 2
Cartesian
2.434 4.205 1.770
3.465 4.886 5.285
4.175 4.886 8.994
3.325 1.684 3.647
6.303 4.205 2.990
5.412 1.684 1.113
2.777 -1.684 8.406
1.886 -4.205 6.529
4.863 -1.684 5.873
4.013 -4.886 0.525
4.723 -4.886 4.235
5.755 -4.205 7.750
4.368 7.163 2.380
3.820 -7.163 7.140
2.299 0.755 0.461
1.750 -0.755 5.221
6.438 0.755 4.299
5.890 -0.755 9.059
3.820 1.342 7.140
4.368 -1.342 2.380
```


[11]
Material: ZnTcSe2
Method: DFT, PBE
State: relaxed

Values from the calculation:
ΔE_f (raw): -223 meV/atom
Excess energy over the best structure of this formula in the dataset: 56.8 meV/atom
Crystal system: monoclinic

```
ZnTcSe2
1.0
6.405 -1.691 0.000
6.405 1.691 0.000
-0.095 0.000 7.422
Zn Tc Se
2 2 4
Cartesian
0.000 0.000 0.000
2.361 0.000 1.223
-0.024 0.000 2.868
6.661 0.000 5.227
4.991 0.000 1.507
8.187 0.000 3.322
8.586 0.000 6.775
11.304 0.000 4.821
```


[12]
Material: LiCl3
Method: DFT, PBE
State: relaxed

Values from the calculation:
ΔE_f (raw): -407 meV/atom
Excess energy over the best structure of this formula in the dataset: 459.0 meV/atom
Crystal system: tetragonal

```
LiCl3
1.0
3.496 0.000 0.000
0.000 3.496 0.000
0.000 0.000 7.039
Li Cl
1 3
Cartesian
0.000 0.000 0.000
0.000 0.000 3.519
1.748 1.748 1.205
1.748 1.748 5.834
```


[13]
Material: CaPuPa2Sb4
Method: DFT, PBE
State: relaxed

Values from the calculation:
ΔE_f (raw): -631 meV/atom
Crystal system: tetragonal

```
CaPuPa2Sb4
1.0
-3.119 3.119 6.269
3.119 -3.119 6.269
3.119 3.119 -6.269
Ca Pu Pa Sb
1 1 2 4
Cartesian
0.000 0.000 0.000
3.119 0.000 3.135
0.000 0.000 6.269
0.000 3.119 3.135
0.000 0.000 3.192
0.000 3.119 0.034
0.000 0.000 9.347
0.000 3.119 6.235
```


[14]
Material: CrIr2Pt
Method: DFT, PBE
State: relaxed

Values from the calculation:
ΔH_f (0 K): -0.0693 eV/atom
Crystal system: orthorhombic

```
CrIr2Pt
1.0
2.728 -3.803 0.000
2.728 3.803 0.000
0.000 0.000 2.777
Cr Ir Pt
1 2 1
Cartesian
0.000 0.000 0.000
1.364 1.902 1.388
1.364 -1.902 1.388
2.728 0.000 0.000
```


[15]
Material: PdC2BrN
Method: DFT, PBE
State: relaxed

Values from the calculation:
ΔE_f (raw): 3672 meV/atom
Crystal system: tetragonal

```
PdC2BrN
1.0
3.870 0.000 0.000
0.000 3.870 0.000
0.000 0.000 5.215
Pd C Br N
1 2 1 1
Cartesian
0.000 0.000 0.000
0.000 1.935 2.608
1.935 0.000 2.608
0.000 0.000 2.608
1.935 1.935 0.000
```


[16]
Material: TbCoGe3Rh
Method: DFT, PBE
State: relaxed

Values from the calculation:
ΔH_f (0 K): -0.3364 eV/atom
Crystal system: orthorhombic

```
TbCoGe3Rh
1.0
3.133 -6.766 0.000
3.133 6.766 0.000
0.000 0.000 5.704
Tb Co Ge Rh
2 2 6 2
Cartesian
3.133 4.335 4.278
3.133 -4.335 1.426
3.133 1.288 1.426
3.133 -1.288 4.278
3.133 3.467 1.426
1.792 0.000 0.000
1.792 0.000 2.852
4.474 0.000 0.000
4.474 0.000 2.852
3.133 -3.467 4.278
3.133 5.819 1.426
3.133 -5.819 4.278
```


[17]
Material: Dy2Ge5Pd3
Method: DFT, PBE
State: relaxed

Values from the calculation:
Excess energy over the best structure of this formula in the dataset: 18.5 meV/atom
ΔH_f (0 K): -0.6674 eV/atom
Crystal system: orthorhombic

```
Dy2Ge5Pd3
1.0
2.187 -12.200 0.000
2.187 12.200 0.000
0.000 0.000 6.978
Dy Ge Pd
4 10 6
Cartesian
2.187 11.708 3.489
2.187 4.252 3.474
2.187 -4.252 6.963
2.187 -11.708 0.000
2.187 9.709 1.058
2.187 7.202 4.782
2.187 7.050 1.904
2.187 2.873 0.180
2.187 1.159 2.297
2.187 -1.159 5.786
2.187 -2.873 3.669
2.187 -7.050 5.393
2.187 -7.202 1.293
2.187 -9.709 4.547
2.187 9.627 5.434
2.187 5.420 6.755
2.187 1.347 4.995
2.187 -1.347 1.506
2.187 -5.420 3.266
2.187 -9.627 1.945
```


[18]
Material: GeBRhCl2
Method: DFT, PBE
State: relaxed

Values from the calculation:
ΔE_f (raw): 1159 meV/atom
Excess energy over the best structure of this formula in the dataset: 435.6 meV/atom
Crystal system: tetragonal

```
GeBRhCl2
1.0
5.084 0.000 0.000
0.000 5.084 0.000
0.000 0.000 4.758
Ge B Rh Cl
1 1 1 2
Cartesian
0.000 0.000 0.000
2.542 2.542 2.379
0.000 0.000 2.379
0.000 2.542 0.000
2.542 0.000 0.000
```


[19]
Material: Ca4AgPtAu2
Method: DFT, PBE
State: relaxed

Values from the calculation:
ΔH_f (0 K): -0.7067 eV/atom
Crystal system: trigonal

```
Ca4AgPtAu2
1.0
2.564 1.481 8.342
-2.564 1.481 8.342
0.000 -2.961 8.342
Ca Ag Pt Au
4 1 1 2
Cartesian
0.000 0.000 2.995
0.000 0.000 9.261
0.000 0.000 15.766
0.000 0.000 22.031
0.000 0.000 12.513
0.000 0.000 0.000
0.000 0.000 6.127
0.000 0.000 18.899
```


[20]
Material: Tb2SmCu
Method: DFT, PBE
State: relaxed

Values from the calculation:
Excess energy over the best structure of this formula in the dataset: 130.9 meV/atom
ΔH_f (0 K): 0.0355 eV/atom
Crystal system: trigonal

```
Tb2SmCu
1.0
1.835 1.059 9.789
-1.835 1.059 9.789
0.000 -2.119 9.789
Tb Sm Cu
2 1 1
Cartesian
0.000 0.000 0.000
0.000 0.000 5.882
0.000 0.000 12.747
0.000 0.000 17.611
```


[21]
Material: Pr4BBr2Cl
Method: DFT, PBE
State: relaxed

Values from the calculation:
ΔE_f (raw): -1060 meV/atom
Crystal system: monoclinic

```
Pr4BBr2Cl
1.0
7.246 0.000 0.000
0.000 4.059 0.000
-2.321 0.000 7.327
Pr B Br Cl
4 1 2 1
Cartesian
1.043 0.000 1.441
-0.180 2.030 5.819
5.105 2.030 1.508
3.882 0.000 5.887
0.000 2.030 0.000
-1.161 0.000 3.664
2.462 2.030 3.664
3.623 0.000 0.000
```


[22]
Material: Ba2InGe
Method: DFT, PBE
State: relaxed

Values from the calculation:
ΔH_f (0 K): -0.3722 eV/atom
Crystal system: tetragonal

```
Ba2InGe
1.0
4.167 0.000 0.000
0.000 4.167 0.000
0.000 0.000 8.302
Ba In Ge
2 1 1
Cartesian
0.000 0.000 1.877
0.000 0.000 6.424
2.083 2.083 4.151
2.083 2.083 0.000
```


[23]
Material: LaFeCo2H8
Method: DFT, PBE
State: relaxed

Values from the calculation:
Crystal system: trigonal

```
LaFeCo2H8
1.0
2.211 1.276 5.496
-2.211 1.276 5.496
0.000 -2.553 5.496
La Fe Co H
1 1 2 8
Cartesian
0.000 0.000 0.000
0.000 0.000 8.244
0.000 0.000 3.255
0.000 0.000 13.233
-1.493 0.194 7.501
-0.914 -1.196 8.986
0.000 0.000 4.887
0.578 -1.390 7.501
-0.578 1.390 8.986
0.000 0.000 11.601
0.914 1.196 7.501
1.493 -0.194 8.986
```


[24]
Material: ErVS
Method: DFT, PBE
State: relaxed

Values from the calculation:
ΔE_f (raw): -943 meV/atom
Crystal system: orthorhombic

```
ErVS
1.0
1.749 -7.951 0.000
1.749 7.951 0.000
0.000 0.000 4.089
Er V S
2 2 2
Cartesian
1.749 5.667 3.067
1.749 -5.667 1.022
1.749 0.364 3.067
1.749 -0.364 1.022
1.749 2.814 3.067
1.749 -2.814 1.022
```


The following DFT total energy values (in eV/atom) correspond, in order, to the records above: -9.58, -6.45, -4.48, -1.81, -5.47, -3.68, -4.03, -3.92, -3.18, -4.57, -4.88, -2.27, -7.11, -8.42, -3.06, -5.83, -5.45, -3.31, -3.64, -4.48, -4.93, -3.17, -4.72, -6.88.